# 1
# CeSm4Tm PBE optimized geometry
# Energy of formation from the pure elements, kJ per mole of atoms: 25
# VASP energy, eV/atom: -4.616
# Density of states at the Fermi level, states/eV per cell: 60.0
# Offset from the most stable computed form, eV per atom: 0.2044
data_CeSm4Tm
_chemical_formula_sum 'Ce4 Sm16 Tm4'
_space_group_name_H-M_alt 'I m m a'
_space_group_IT_number 74
_space_group_name_Hall '-I 2b 2'
_cell_length_a 6.681
_cell_length_b 11.664
_cell_length_c 10.182
_cell_angle_alpha 90.00
_cell_angle_beta 90.00
_cell_angle_gamma 90.00
loop_
_atom_site_label
_atom_site_type_symbol
_atom_site_fract_x
_atom_site_fract_y
_atom_site_fract_z
Ce1 Ce 0.000 0.000 0.000
Sm1 Sm 0.000 0.006 0.335
Sm2 Sm 0.249 0.250 0.578
Tm1 Tm 0.250 0.250 0.250


# 2
# CeSm4Tm PBE optimized geometry
# Energy of formation from the pure elements, kJ per mole of atoms: 6
# VASP energy, eV/atom: -4.821
# Density of states at the Fermi level, states/eV per cell: 24.0
# Offset from the most stable computed form, eV per atom: 0.0000
data_CeSm4Tm
_chemical_formula_sum 'Ce2 Sm8 Tm2'
_space_group_name_H-M_alt 'C 1 2/m 1'
_space_group_IT_number 12
_space_group_name_Hall '-C 2y'
_cell_length_a 6.210
_cell_length_b 10.788
_cell_length_c 6.202
_cell_angle_alpha 90.00
_cell_angle_beta 109.40
_cell_angle_gamma 90.00
loop_
_atom_site_label
_atom_site_type_symbol
_atom_site_fract_x
_atom_site_fract_y
_atom_site_fract_z
Ce1 Ce 0.000 0.000 0.000
Sm1 Sm 0.000 0.164 0.500
Sm2 Sm 0.000 0.334 0.000
Tm1 Tm 0.000 0.500 0.500


# 3
# CeSm5Tm PBE optimized geometry
# Energy of formation from the pure elements, kJ per mole of atoms: 27
# VASP energy, eV/atom: -4.576
# Density of states at the Fermi level, states/eV per cell: 14.1
data_CeSm5Tm
_chemical_formula_sum 'Ce1 Sm5 Tm1'
_space_group_name_H-M_alt 'P -1'
_space_group_IT_number 2
_space_group_name_Hall '-P 1'
_cell_length_a 5.296
_cell_length_b 5.598
_cell_length_c 7.948
_cell_angle_alpha 101.17
_cell_angle_beta 90.17
_cell_angle_gamma 90.28
loop_
_atom_site_label
_atom_site_type_symbol
_atom_site_fract_x
_atom_site_fract_y
_atom_site_fract_z
Ce1 Ce 0.000 0.000 0.000
Sm1 Sm 0.000 0.000 0.500
Sm2 Sm 0.002 0.538 0.788
Sm3 Sm 0.500 0.144 0.819
Tm1 Tm 0.500 0.500 0.500


# 4
# CeSm12Tm7 PBE optimized geometry
# Energy of formation from the pure elements, kJ per mole of atoms: 24
# VASP energy, eV/atom: -4.443
# Density of states at the Fermi level, states/eV per cell: 105.2
# Offset from the most stable computed form, eV per atom: 0.0000
data_CeSm12Tm7
_chemical_formula_sum 'Ce3 Sm36 Tm21'
_space_group_name_H-M_alt 'R -3 m'
_space_group_IT_number 166
_space_group_name_Hall '-R 3 2"'
_cell_length_a 16.9157
_cell_length_b 16.9157
_cell_length_c 8.0915
_cell_angle_alpha 90.00
_cell_angle_beta 90.00
_cell_angle_gamma 120.00
loop_
_atom_site_label
_atom_site_type_symbol
_atom_site_fract_x
_atom_site_fract_y
_atom_site_fract_z
Ce1 Ce 0.0000 0.0000 0.0000
Sm1 Sm 0.0000 0.2880 0.0000
Sm2 Sm 0.1073 0.5536 0.9621
Tm1 Tm 0.0000 0.0000 0.5000
Tm2 Tm 0.1101 0.2202 0.7288


# 5
# CeSm2Tm5 PBE optimized geometry
# Energy of formation from the pure elements, kJ per mole of atoms: 18
# VASP energy, eV/atom: -4.525
# Density of states at the Fermi level, states/eV per cell: 58.9
# Offset from the most stable computed form, eV per atom: 0.1480
data_CeSm2Tm5
_chemical_formula_sum 'Ce4 Sm8 Tm20'
_space_group_name_H-M_alt 'C 1 2/c 1'
_space_group_IT_number 15
_space_group_name_Hall '-C 2yc'
_cell_length_a 16.006
_cell_length_b 9.788
_cell_length_c 6.402
_cell_angle_alpha 90.00
_cell_angle_beta 97.39
_cell_angle_gamma 90.00
loop_
_atom_site_label
_atom_site_type_symbol
_atom_site_fract_x
_atom_site_fract_y
_atom_site_fract_z
Ce1 Ce 0.250 0.250 0.000
Sm1 Sm 0.080 0.244 0.115
Tm1 Tm 0.000 0.444 0.750
Tm2 Tm 0.100 0.092 0.639
Tm3 Tm 0.197 0.410 0.528


# 6
# CeSm4Tm8 PBE optimized geometry
# Energy of formation from the pure elements, kJ per mole of atoms: 51
# VASP energy, eV/atom: -4.132
# Density of states at the Fermi level, states/eV per cell: 21.9
data_CeSm4Tm8
_chemical_formula_sum 'Ce1 Sm4 Tm8'
_space_group_name_H-M_alt 'P m -3 m'
_space_group_IT_number 221
_space_group_name_Hall '-P 4 2 3'
_cell_length_a 7.718
_cell_length_b 7.718
_cell_length_c 7.718
_cell_angle_alpha 90.00
_cell_angle_beta 90.00
_cell_angle_gamma 90.00
loop_
_atom_site_label
_atom_site_type_symbol
_atom_site_fract_x
_atom_site_fract_y
_atom_site_fract_z
Ce1 Ce 0.000 0.000 0.000
Sm1 Sm 0.000 0.000 0.500
Sm2 Sm 0.500 0.500 0.500
Tm1 Tm 0.258 0.258 0.258


# 7
# CeSm3Tm5 PBE optimized geometry
# Energy of formation from the pure elements, kJ per mole of atoms: 42
# VASP energy, eV/atom: -4.284
# Density of states at the Fermi level, states/eV per cell: 67.7
data_CeSm3Tm5
_chemical_formula_sum 'Ce4 Sm12 Tm20'
_space_group_name_H-M_alt 'C 1 2/m 1'
_space_group_IT_number 12
_space_group_name_Hall '-C 2y'
_cell_length_a 16.501
_cell_length_b 8.118
_cell_length_c 12.107
_cell_angle_alpha 90.00
_cell_angle_beta 130.99
_cell_angle_gamma 90.00
loop_
_atom_site_label
_atom_site_type_symbol
_atom_site_fract_x
_atom_site_fract_y
_atom_site_fract_z
Ce1 Ce 0.107 0.000 0.376
Sm1 Sm 0.000 0.000 0.000
Sm2 Sm 0.000 0.000 0.500
Sm3 Sm 0.162 0.000 0.855
Sm4 Sm 0.192 0.500 0.799
Tm1 Tm 0.000 0.320 0.500
Tm2 Tm 0.053 0.500 0.922
Tm3 Tm 0.142 0.500 0.449
Tm4 Tm 0.211 0.302 0.274


# 8
# CeSm14Tm PBE optimized geometry
# Energy of formation from the pure elements, kJ per mole of atoms: 3
# VASP energy, eV/atom: -4.750
# Density of states at the Fermi level, states/eV per cell: 26.2
data_CeSm14Tm
_chemical_formula_sum 'Ce1 Sm14 Tm1'
_space_group_name_H-M_alt 'P 4/m m m'
_space_group_IT_number 123
_space_group_name_Hall '-P 4 2'
_cell_length_a 7.235
_cell_length_b 7.235
_cell_length_c 10.213
_cell_angle_alpha 90.00
_cell_angle_beta 90.00
_cell_angle_gamma 90.00
loop_
_atom_site_label
_atom_site_type_symbol
_atom_site_fract_x
_atom_site_fract_y
_atom_site_fract_z
Ce1 Ce 0.000 0.000 0.000
Sm1 Sm 0.000 0.000 0.500
Sm2 Sm 0.000 0.500 0.000
Sm3 Sm 0.000 0.500 0.500
Sm4 Sm 0.249 0.249 0.247
Sm5 Sm 0.500 0.500 0.500
Tm1 Tm 0.500 0.500 0.000


# 9
# Ce2SmTm PBE optimized geometry
# Energy of formation from the pure elements, kJ per mole of atoms: 10
# VASP energy, eV/atom: -5.158
# Density of states at the Fermi level, states/eV per cell: 10.1
# Offset from the most stable computed form, eV per atom: 0.0113
data_Ce2SmTm
_chemical_formula_sum 'Ce2 Sm1 Tm1'
_space_group_name_H-M_alt 'P 4/m m m'
_space_group_IT_number 123
_space_group_name_Hall '-P 4 2'
_cell_length_a 4.906
_cell_length_b 4.906
_cell_length_c 5.065
_cell_angle_alpha 90.00
_cell_angle_beta 90.00
_cell_angle_gamma 90.00
loop_
_atom_site_label
_atom_site_type_symbol
_atom_site_fract_x
_atom_site_fract_y
_atom_site_fract_z
Ce1 Ce 0.000 0.500 0.000
Sm1 Sm 0.000 0.000 0.500
Tm1 Tm 0.500 0.500 0.500


# 10
# CeSm8Tm4 PBE optimized geometry
# Energy of formation from the pure elements, kJ per mole of atoms: 15
# VASP energy, eV/atom: -4.582
# Density of states at the Fermi level, states/eV per cell: 60.7
data_CeSm8Tm4
_chemical_formula_sum 'Ce3 Sm24 Tm12'
_space_group_name_H-M_alt 'R -3 m'
_space_group_IT_number 166
_space_group_name_Hall '-R 3 2"'
_cell_length_a 7.3251
_cell_length_b 7.3251
_cell_length_c 27.1788
_cell_angle_alpha 90.00
_cell_angle_beta 90.00
_cell_angle_gamma 120.00
loop_
_atom_site_label
_atom_site_type_symbol
_atom_site_fract_x
_atom_site_fract_y
_atom_site_fract_z
Ce1 Ce 0.0000 0.0000 0.0000
Sm1 Sm 0.0000 0.0000 0.2788
Sm2 Sm 0.0278 0.5139 0.2690
Tm1 Tm 0.0000 0.0000 0.5000
Tm2 Tm 0.0000 0.5000 0.5000


# 11
# CeSm6Tm10 PBE optimized geometry
# Energy of formation from the pure elements, kJ per mole of atoms: 14
# VASP energy, eV/atom: -4.499
# Density of states at the Fermi level, states/eV per cell: 28.0
data_CeSm6Tm10
_chemical_formula_sum 'Ce1 Sm6 Tm10'
_space_group_name_H-M_alt 'P -3 1 m'
_space_group_IT_number 162
_space_group_name_Hall '-P 3 2'
_cell_length_a 9.5882
_cell_length_b 9.5882
_cell_length_c 6.8232
_cell_angle_alpha 90.00
_cell_angle_beta 90.00
_cell_angle_gamma 120.00
loop_
_atom_site_label
_atom_site_type_symbol
_atom_site_fract_x
_atom_site_fract_y
_atom_site_fract_z
Ce1 Ce 0.0000 0.0000 0.0000
Sm1 Sm 0.0000 0.3788 0.8016
Tm1 Tm 0.0000 0.2730 0.3199
Tm2 Tm 0.3333 0.6667 0.0000
Tm3 Tm 0.3333 0.6667 0.5000


Q: What is the formula in the third record?
A: CeSm5Tm